# 1
# SrTlBrCl2 (GGA-PBE, optimized geometry)
# formation energy (no corrections) = -165.49 kJ per mole of atoms
data_SrTlBrCl2
_cell_length_a 5.636
_cell_length_b 5.636
_cell_length_c 6.028
_cell_angle_alpha 90.00
_cell_angle_beta 90.00
_cell_angle_gamma 90.00
_symmetry_space_group_name_H-M 'P 4/m m m'
_symmetry_Int_Tables_number 123
_symmetry_space_group_name_Hall '-P 4 2'
loop_
_atom_site_label
_atom_site_type_symbol
_atom_site_fract_x
_atom_site_fract_y
_atom_site_fract_z
_atom_site_occupancy
Sr1 Sr 0.000 0.000 0.000 1
Tl1 Tl 0.500 0.500 0.500 1
Br1 Br 0.000 0.000 0.500 1
Cl1 Cl 0.000 0.500 0.000 1

***

# 2
# Sr2WBrCl (GGA-PBE, optimized geometry)
# formation energy (no corrections) = -5.11 kJ per mole of atoms
data_Sr2WBrCl
_cell_length_a 6.061
_cell_length_b 6.061
_cell_length_c 4.555
_cell_angle_alpha 90.00
_cell_angle_beta 90.00
_cell_angle_gamma 90.00
_symmetry_space_group_name_H-M 'P 4/m m m'
_symmetry_Int_Tables_number 123
_symmetry_space_group_name_Hall '-P 4 2'
loop_
_atom_site_label
_atom_site_type_symbol
_atom_site_fract_x
_atom_site_fract_y
_atom_site_fract_z
_atom_site_occupancy
Sr1 Sr 0.000 0.500 0.000 1
W1 W 0.000 0.000 0.000 1
Br1 Br 0.500 0.500 0.500 1
Cl1 Cl 0.000 0.000 0.500 1

***

> Which value of formation energy (no corrections) does entry 1 give?

-165.49 kJ per mole of atoms

***

> Look up the formation energy (no corrections) of the second one.

-5.11 kJ per mole of atoms

***

> Which formula does entry 1 have?

SrTlBrCl2